AcZnH6Pt3: relaxed, PBE-GGA.

Properties
ρ, g/cm³: 11.7
DFT total energy, eV/atom: -4.271

Cell: 7.1855 7.1855 8.4453 Å, 90.00 90.00 120.00°
Closest atoms and distances in Å follow each position.
Space group R3 (No. 146, hexagonal axes)
Unique sites:
Ac: 0.0000 0.0000 0.0000 (multiplicity 3)  12 H 2.72-2.87
Zn: 0.0000 0.0000 0.6036 (multiplicity 3)  3 H 2.02
H: 0.0118 0.2341 0.7430 (multiplicity 9)  1 Pt 1.67
H: 0.0211 0.6734 0.8458 (multiplicity 9)  2 Pt 1.81
Pt: 0.0786 0.5678 0.0227 (multiplicity 9)  3 H 1.67-1.81